Record 1
VASP calculation (PBE) on a geometry-optimized Dy6Bi3C structure.

It has space group Cmc2_1 (No. 36), with a = 12.040 Å, b = 14.382 Å, c = 7.243 Å, α = 90.00°, β = 90.00° and γ = 90.00°. The asymmetric unit holds Dy at (0.000, 0.048, 0.000), Dy at (0.000, 0.227, 0.561), Dy at (0.153, 0.256, 0.000), Dy at (0.158, 0.461, 0.534), Bi at (0.000, 0.389, 0.228), Bi at (0.173, 0.100, 0.328) and C at (0.000, 0.191, 0.867).

The formation energy comes out at -4.118 eV/f.u.

Record 2
VASP calculation (PBE) on a geometry-optimized Ba6LiPt2 structure.

It has space group R3 (No. 146, hexagonal axes), with a = 8.1916 Å, b = 8.1916 Å, c = 22.9027 Å, α = 90.00°, β = 90.00° and γ = 120.00°. The asymmetric unit holds Ba at (0.0271, 0.3376, 0.0000), Ba at (0.0549, 0.6964, 0.8311), Li at (0.0000, 0.0000, 0.5734), Pt at (0.0000, 0.0000, 0.0753) and Pt at (0.0000, 0.0000, 0.2546).

The formation energy comes out at -3.464 eV/f.u.

Record 3
VASP calculation (PBE) on a geometry-optimized Na2PrSnO4 structure.

It has space group Cmcm (No. 63), with a = 3.768 Å, b = 12.143 Å, c = 11.092 Å, α = 90.00°, β = 90.00° and γ = 90.00°. The asymmetric unit holds Na at (0.000, 0.106, 0.035), Pr at (0.000, 0.416, 0.250), Sn at (0.000, 0.317, 0.750), O at (0.000, 0.097, 0.250), O at (0.000, 0.185, 0.638) and O at (0.000, 0.500, 0.000).

The calculation puts the formation energy (no corrections) at -1.69 eV/atom.

Record 4
VASP calculation (PBE) on a geometry-optimized CaDyTmIn structure.

It has space group F-43m (No. 216), with a = 7.729 Å, b = 7.729 Å, c = 7.729 Å, α = 90.00°, β = 90.00° and γ = 90.00°. The asymmetric unit holds Ca at (0.000, 0.000, 0.000), Dy at (0.250, 0.250, 0.250), Tm at (0.250, 0.250, 0.750) and In at (0.000, 0.000, 0.500).

The formation energy comes out at -0.456 eV/f.u.

Record 5
VASP calculation (PBE) on a geometry-optimized Pm2HoF structure.

It has space group R-3m (No. 166, hexagonal axes), with a = 3.4262 Å, b = 3.4262 Å, c = 31.1742 Å, α = 90.00°, β = 90.00° and γ = 120.00°. The asymmetric unit holds Pm at (0.0000, 0.0000, 0.1077), Ho at (0.0000, 0.0000, 0.0000) and F at (0.0000, 0.0000, 0.5000).

The calculation puts the formation energy (no corrections) at -0.88 eV/atom.

Record 6
VASP calculation (PBE) on a geometry-optimized LaPaInO6 structure.

It has space group P312 (No. 149), with a = 5.7588 Å, b = 5.7588 Å, c = 4.8428 Å, α = 90.00°, β = 90.00° and γ = 120.00°. The asymmetric unit holds La at (0.0000, 0.0000, 0.0000), Pa at (0.6667, 0.3333, 0.5000), In at (0.3333, 0.6667, 0.0000) and O at (0.3648, 0.0063, 0.2477).

The calculation puts the formation energy (no corrections) at -2.61 eV/atom.

Results for raw total energy: -5.26; -3.22; -5.60; -3.57; -4.87; -7.82 (in eV per atom, following the order of the records).